(1)
DFT (PBE) results for NaZrCo2H after structural relaxation.

It has space group P4/mmm (No. 123), with a = 4.024 Å, b = 4.024 Å, c = 3.923 Å, α = 90.00°, β = 90.00° and γ = 90.00°. Symmetry generates all atoms from Na at (0.000, 0.000, 0.000), Zr at (0.500, 0.500, 0.000), Co at (0.000, 0.500, 0.500) and H at (0.500, 0.500, 0.500).

The value obtained for the energy relative to the lowest polymorph listed for this composition is 0 meV/atom.

---

(2)
DFT (PBE) results for SiSb2TeAu after structural relaxation.

It has space group P4/mmm (No. 123), with a = 5.214 Å, b = 5.214 Å, c = 5.147 Å, α = 90.00°, β = 90.00° and γ = 90.00°. Symmetry generates all atoms from Si at (0.000, 0.000, 0.000), Sb at (0.000, 0.500, 0.000), Te at (0.000, 0.000, 0.500) and Au at (0.500, 0.500, 0.500).

The value obtained for the energy relative to the lowest polymorph listed for this composition is 0 meV/atom. Its energy relative to the elements, uncorrected is 0.703 eV/atom.

---

(3)
DFT (PBE) results for Ba7Ge2O2 after structural relaxation.

It has space group C2/m (No. 12), with a = 13.306 Å, b = 8.043 Å, c = 7.530 Å, α = 90.00°, β = 90.11° and γ = 90.00°. Symmetry generates all atoms from Ba at (0.000, 0.000, 0.000), Ba at (0.000, 0.500, 0.278), Ba at (0.250, 0.250, 0.232), Ge at (0.000, 0.151, 0.500) and O at (0.205, 0.000, 0.000).

Its energy relative to the elements, uncorrected is -0.904 eV/atom.

---

(4)
DFT (PBE) results for TbAlOs2C after structural relaxation.

It has space group Cmcm (No. 63), with a = 4.001 Å, b = 11.072 Å, c = 7.256 Å, α = 90.00°, β = 90.00° and γ = 90.00°. Symmetry generates all atoms from Tb at (0.000, 0.049, 0.250), Al at (0.000, 0.230, 0.750), Os at (0.000, 0.334, 0.061) and C at (0.000, 0.500, 0.000).

For the formation energy, the calculation gives -0.34 eV per atom.

---

(5)
DFT (PBE) results for SrCaBe2H8 after structural relaxation.

It has space group P-3 (No. 147), with a = 4.5292 Å, b = 4.5292 Å, c = 7.5110 Å, α = 90.00°, β = 90.00° and γ = 120.00°. Symmetry generates all atoms from Sr at (0.0000, 0.0000, 0.0000), Ca at (0.0000, 0.0000, 0.5000), Be at (0.3333, 0.6667, 0.7613), H at (0.0397, 0.3589, 0.7083) and H at (0.3333, 0.6667, 0.9521).

---

(6)
DFT (PBE) results for HoFeTcP2 after structural relaxation.

It has space group I-4m2 (No. 119), with a = 3.991 Å, b = 3.991 Å, c = 9.484 Å, α = 90.00°, β = 90.00° and γ = 90.00°. Symmetry generates all atoms from Ho at (0.000, 0.000, 0.000), Fe at (0.000, 0.500, 0.250), Tc at (0.000, 0.500, 0.750) and P at (0.000, 0.000, 0.370).

For the formation energy, the calculation gives -0.92 eV per atom.

---

(7)
DFT (PBE) results for KAsCl2 after structural relaxation.

It has space group Fm-3m (No. 225), with a = 7.480 Å, b = 7.480 Å, c = 7.480 Å, α = 90.00°, β = 90.00° and γ = 90.00°. Symmetry generates all atoms from K at (0.000, 0.000, 0.000), As at (0.000, 0.000, 0.500) and Cl at (0.250, 0.250, 0.250).

The value obtained for the energy relative to the lowest polymorph listed for this composition is 395 meV/atom. Its energy relative to the elements, uncorrected is -0.432 eV/atom.

---

(8)
DFT (PBE) results for VCd3Sb after structural relaxation.

It has space group Pm-3m (No. 221), with a = 5.274 Å, b = 5.274 Å, c = 5.274 Å, α = 90.00°, β = 90.00° and γ = 90.00°. Symmetry generates all atoms from V at (0.000, 0.000, 0.000), Cd at (0.000, 0.000, 0.500) and Sb at (0.500, 0.500, 0.500).

The value obtained for the energy relative to the lowest polymorph listed for this composition is 0 meV/atom. Its energy relative to the elements, uncorrected is 0.840 eV/atom.

---

(9)
DFT (PBE) results for Mn2TcPt2 after structural relaxation.

It has space group P4/mbm (No. 127), with a = 7.314 Å, b = 7.314 Å, c = 2.820 Å, α = 90.00°, β = 90.00° and γ = 90.00°. Symmetry generates all atoms from Mn at (0.153, 0.347, 0.000), Tc at (0.000, 0.000, 0.000) and Pt at (0.147, 0.647, 0.500).

The value obtained for the energy relative to the lowest polymorph listed for this composition is 0 meV/atom. For the formation energy, the calculation gives 0.07 eV per atom.

---

(10)
DFT (PBE) results for CePr2Ho3Te6 after structural relaxation.

It has space group C2/m (No. 12), with a = 19.454 Å, b = 4.369 Å, c = 8.986 Å, α = 90.00°, β = 105.15° and γ = 90.00°. Symmetry generates all atoms from Ce at (0.000, 0.000, 0.000), Pr at (0.167, 0.500, 0.334), Ho at (0.000, 0.000, 0.500), Ho at (0.169, 0.500, 0.836), Te at (0.004, 0.500, 0.743), Te at (0.163, 0.000, 0.593) and Te at (0.169, 0.000, 0.074).

Its energy relative to the elements, uncorrected is -1.340 eV/atom.

---

(11)
DFT (PBE) results for ScSbMo after structural relaxation.

It has space group Fmm2 (No. 42), with a = 3.615 Å, b = 5.094 Å, c = 13.219 Å, α = 90.00°, β = 90.00° and γ = 90.00°. Symmetry generates all atoms from Sc at (0.000, 0.000, 0.000), Sb at (0.000, 0.000, 0.317) and Mo at (0.000, 0.000, 0.660).

The value obtained for the energy relative to the lowest polymorph listed for this composition is 341 meV/atom. Its energy relative to the elements, uncorrected is 0.067 eV/atom.

---

(12)
DFT (PBE) results for Rb2SiIBr6 after structural relaxation.

It has space group I4/mmm (No. 139), with a = 8.183 Å, b = 8.183 Å, c = 11.352 Å, α = 90.00°, β = 90.00° and γ = 90.00°. Symmetry generates all atoms from Rb at (0.000, 0.500, 0.250), Si at (0.000, 0.000, 0.000), I at (0.000, 0.000, 0.500), Br at (0.000, 0.000, 0.217) and Br at (0.212, 0.212, 0.000).

Its energy relative to the elements, uncorrected is -0.889 eV/atom.

---

(13)
DFT (PBE) results for La2DyHo2Mg5 after structural relaxation.

It has space group P4/mbm (No. 127), with a = 10.640 Å, b = 10.640 Å, c = 5.106 Å, α = 90.00°, β = 90.00° and γ = 90.00°. Symmetry generates all atoms from La at (0.176, 0.324, 0.000), Dy at (0.000, 0.000, 0.000), Ho at (0.121, 0.621, 0.000), Mg at (0.000, 0.500, 0.500) and Mg at (0.070, 0.802, 0.500).

For the formation energy, the calculation gives 0.01 eV per atom.

---

(14)
DFT (PBE) results for TiZnW after structural relaxation.

It has space group P4/nmm (No. 129, origin choice 2), with a = 3.150 Å, b = 3.150 Å, c = 9.677 Å, α = 90.00°, β = 90.00° and γ = 90.00°. Symmetry generates all atoms from Ti at (0.250, 0.250, 0.245), Zn at (0.250, 0.250, 0.574) and W at (0.250, 0.250, 0.919).

The value obtained for the energy relative to the lowest polymorph listed for this composition is 0 meV/atom. For the formation energy, the calculation gives -0.06 eV per atom.

---

(15)
DFT (PBE) results for HfThCu4 after structural relaxation.

It has space group F-43m (No. 216), with a = 7.342 Å, b = 7.342 Å, c = 7.342 Å, α = 90.00°, β = 90.00° and γ = 90.00°. Symmetry generates all atoms from Hf at (0.000, 0.000, 0.000), Th at (0.250, 0.250, 0.750) and Cu at (0.126, 0.126, 0.374).

The value obtained for the energy relative to the lowest polymorph listed for this composition is 135 meV/atom. For the formation energy, the calculation gives -0.05 eV per atom.

---

(16)
DFT (PBE) results for MnV2Pt after structural relaxation.

It has space group I-42d (No. 122), with a = 3.609 Å, b = 3.609 Å, c = 18.371 Å, α = 90.00°, β = 90.00° and γ = 90.00°. Symmetry generates all atoms from Mn at (0.000, 0.000, 0.000), V at (0.241, 0.250, 0.125) and Pt at (0.000, 0.000, 0.500).

For the formation energy, the calculation gives 0.23 eV per atom.

---

(17)
DFT (PBE) results for Ac2FeAs after structural relaxation.

It has space group P4/mmm (No. 123), with a = 5.305 Å, b = 5.305 Å, c = 3.943 Å, α = 90.00°, β = 90.00° and γ = 90.00°. Symmetry generates all atoms from Ac at (0.000, 0.500, 0.000), Fe at (0.000, 0.000, 0.500) and As at (0.500, 0.500, 0.500).

The value obtained for the energy relative to the lowest polymorph listed for this composition is 0 meV/atom. For the formation energy, the calculation gives -0.29 eV per atom.

---

(18)
DFT (PBE) results for KMnAl2Zn after structural relaxation.

It has space group P4/mmm (No. 123), with a = 4.855 Å, b = 4.855 Å, c = 5.584 Å, α = 90.00°, β = 90.00° and γ = 90.00°. Symmetry generates all atoms from K at (0.000, 0.000, 0.000), Mn at (0.500, 0.500, 0.000), Al at (0.000, 0.500, 0.500) and Zn at (0.000, 0.000, 0.500).

For the formation energy, the calculation gives 0.82 eV per atom.

---

(19)
DFT (PBE) results for Ce2Gd4N after structural relaxation.

It has space group I4/mmm (No. 139), with a = 4.815 Å, b = 4.815 Å, c = 17.674 Å, α = 90.00°, β = 90.00° and γ = 90.00°. Symmetry generates all atoms from Ce at (0.000, 0.000, 0.178), Gd at (0.000, 0.000, 0.365), Gd at (0.000, 0.500, 0.000) and N at (0.000, 0.000, 0.500).

Its energy relative to the elements, uncorrected is -0.145 eV/atom.

---

(20)
DFT (PBE) results for Ce2PaTcN5 after structural relaxation.

It has space group P4/mbm (No. 127), with a = 6.456 Å, b = 6.456 Å, c = 5.870 Å, α = 90.00°, β = 90.00° and γ = 90.00°. Symmetry generates all atoms from Ce at (0.165, 0.335, 0.000), Pa at (0.000, 0.000, 0.500), Tc at (0.000, 0.500, 0.500), N at (0.000, 0.000, 0.000) and N at (0.160, 0.660, 0.274).

Its energy relative to the elements, uncorrected is -0.896 eV/atom.

---

(21)
DFT (PBE) results for LaTb3Nd after structural relaxation.

It has space group P2_1/m (No. 11), with a = 3.683 Å, b = 11.700 Å, c = 8.619 Å, α = 90.00°, β = 101.32° and γ = 90.00°. Symmetry generates all atoms from La at (0.146, 0.250, 0.366), Tb at (0.200, 0.750, 0.312), Tb at (0.335, 0.002, 0.690) and Nd at (0.394, 0.250, 0.020).

The value obtained for the energy relative to the lowest polymorph listed for this composition is 221 meV/atom. For the formation energy, the calculation gives 0.31 eV per atom.

---

(22)
DFT (PBE) results for Pm5NdTm5 after structural relaxation.

It has space group P-6m2 (No. 187), with a = 6.0690 Å, b = 6.0690 Å, c = 11.8433 Å, α = 90.00°, β = 90.00° and γ = 120.00°. Symmetry generates all atoms from Pm at (0.0000, 0.0000, 0.0000), Pm at (0.3333, 0.6667, 0.3184), Pm at (0.6667, 0.3333, 0.1544), Nd at (0.3333, 0.6667, 0.0000), Tm at (0.0000, 0.0000, 0.2664) and Tm at (0.3324, 0.1662, 0.5000).

For the formation energy, the calculation gives 0.29 eV per atom.

---

(23)
DFT (PBE) results for PuU2Ni9 after structural relaxation.

It has space group R-3m (No. 166, hexagonal axes), with a = 4.8891 Å, b = 4.8891 Å, c = 24.4144 Å, α = 90.00°, β = 90.00° and γ = 120.00°. Symmetry generates all atoms from Pu at (0.0000, 0.0000, 0.0000), U at (0.0000, 0.0000, 0.1404), Ni at (0.0000, 0.0000, 0.3330), Ni at (0.0000, 0.0000, 0.5000) and Ni at (0.0011, 0.5006, 0.9166).

For the formation energy, the calculation gives -0.24 eV per atom.

---

(24)
DFT (PBE) results for Sr2TaSn after structural relaxation.

It has space group I-42d (No. 122), with a = 8.998 Å, b = 8.998 Å, c = 6.195 Å, α = 90.00°, β = 90.00° and γ = 90.00°. Symmetry generates all atoms from Sr at (0.247, 0.250, 0.125), Ta at (0.000, 0.000, 0.500) and Sn at (0.000, 0.000, 0.000).

For the formation energy, the calculation gives 0.79 eV per atom.

---

| no. | volume (Å³ per cell) | density of states at the Fermi level (states/eV/f.u.) | VASP energy (eV per atom) |
| --- | --- | --- | --- |
| 1 | 64 | 2.8 | -5.12 |
| 2 | 140 | 2.9 | -3.31 |
| 3 | 806 | 8.8 | -3.87 |
| 4 | 321 | 4.3 | -8.35 |
| 5 | 133 | 0.0 | -3.54 |
| 6 | 151 | 2.5 | -7.77 |
| 7 | 419 | 5.6 | -2.79 |
| 8 | 147 | 5.7 | -2.36 |
| 9 | 151 | 5.8 | -8.09 |
| 10 | 737 | 12.0 | -5.35 |
| 11 | 243 | 2.8 | -7.03 |
| 12 | 760 | 7.4 | -2.78 |
| 13 | 578 | 7.1 | -3.15 |
| 14 | 96 | 1.8 | -7.43 |
| 15 | 396 | 5.0 | -5.67 |
| 16 | 239 | 4.1 | -8.13 |
| 17 | 111 | 5.6 | -5.62 |
| 18 | 132 | 1.7 | -2.98 |
| 19 | 410 | 22.2 | -11.08 |
| 20 | 245 | 7.2 | -9.05 |
| 21 | 364 | 8.2 | -4.41 |
| 22 | 378 | 22.8 | -4.34 |
| 23 | 505 | 24.5 | -7.65 |
| 24 | 502 | 3.5 | -4.01 |